DFT (PBE) results for a relaxed structure of La5CoAg2.

abc: 9.438 12.581 4.060
angles: 90.00 90.00 90.00
Space group Pbam (No. 55)
Unique sites:
La: 0.000 0.000 0.000 (multiplicity 2)
La: 0.137 0.299 0.000 (multiplicity 4)
La: 0.172 0.568 0.500 (multiplicity 4)
Co: 0.000 0.500 0.000 (multiplicity 2)
Ag: 0.085 0.823 0.500 (multiplicity 4)

Properties
DOS at the Fermi energy	22.86	states/eV/cell
density	6.68	Mg/m³
volume	30.13	A^3/atom
total DFT energy (no corrections)	-38.900	eV per formula unit


DFT (PBE) results for a relaxed structure of RbZrBe3.

abc: 5.155 5.155 5.155
angles: 90.00 90.00 90.00
Space group Pm-3m (No. 221)
Unique sites:
Rb: 0.000 0.000 0.000 (multiplicity 1)
Zr: 0.500 0.500 0.500 (multiplicity 1)
Be: 0.000 0.500 0.500 (multiplicity 3)

Properties
DOS at the Fermi energy	6.74	states/eV/cell
density	2.47	Mg/m³
volume	27.39	A^3/atom
total DFT energy (no corrections)	-13.574	eV per formula unit


DFT (PBE) results for a relaxed structure of Ac2Ga3Ru.

abc: 4.376 4.445 7.810
angles: 90.00 90.00 90.00
Space group Pmm2 (No. 25)
Unique sites:
Ac: 0.000 0.000 0.000 (multiplicity 1)
Ac: 0.500 0.000 0.468 (multiplicity 1)
Ga: 0.000 0.500 0.315 (multiplicity 1)
Ga: 0.000 0.500 0.652 (multiplicity 1)
Ga: 0.500 0.500 0.824 (multiplicity 1)
Ru: 0.500 0.500 0.152 (multiplicity 1)

Properties
DOS at the Fermi energy	4.85	states/eV/cell
density	8.35	Mg/m³
volume	25.32	A^3/atom
total DFT energy (no corrections)	-29.488	eV per formula unit